## LiYOs2 (PBE)

Data for an optimized crystal structure of LiYOs2.

The structure in POSCAR format:
```
LiYOs2
1.0
-0.598 0.281 2.712
2.098 -1.725 0.642
5.306 6.634 0.482
Os Y Li
2 1 1
Cartesian
2.766 3.458 0.251
5.193 6.493 0.472
2.077 0.937 1.797
4.730 4.253 2.038
```

Results
Density of states at the Fermi level   6.671 states/eV/cell
Magnetization   0.00 μB per atom
DFT total energy   -7.09 eV per atom
E_form   0.62 eV per atom